Computed, not measured: crystalline SrTaIn2 at its relaxed geometry at the PBE-GGA level of DFT.

Results
- Formation energy from the elements: 174 kJ/mol of formula units
- Space-group type: I-4m2, No. 119

```
SrTaIn2
1.0
-2.222 2.222 5.131
2.222 -2.222 5.131
2.222 2.222 -5.131
Sr Ta In
1 1 2
direct
0.000 0.000 0.000
0.250 0.750 0.500
0.500 0.500 0.000
0.750 0.250 0.500
```

Computed, not measured: crystalline Ta2SbAs at its relaxed geometry at the PBE-GGA level of DFT.

Results
- Uncorrected formation energy: -0.8 kcal/mol of atoms
- Space-group type: P4/mmm, No. 123

```
Ta2SbAs
1.0
3.307 0.000 0.000
0.000 3.307 0.000
0.000 0.000 6.691
Ta Sb As
2 1 1
direct
0.000 0.000 0.230
0.000 0.000 0.770
0.500 0.500 0.500
0.500 0.500 0.000
```

no.,DFT total energy (hartree per atom),ρ (g/cm3),magnetization (μB per cell)
1,-0.1581,8.17,0.7
2,-0.2997,12.68,0.0